Record 1
# AcCdCu2Ge2 (PBE, optimized geometry)
# D(E_F): 0.418 states/eV/atom
# total energy: -24.27 eV for the cell shown
# E_form: -0.304 eV/atom
# SG: P-3m1, No. 164
data_AcCdCu2Ge2
_cell_length_a 4.322
_cell_length_b 4.322
_cell_length_c 7.513
_cell_angle_alpha 90.00
_cell_angle_beta 90.00
_cell_angle_gamma 120.00
_space_group_name_H-M_alt 'P 1'
_space_group_IT_number 1
_space_group_name_Hall 'P 1'
loop_
_atom_site_label
_atom_site_type_symbol
_atom_site_fract_x
_atom_site_fract_y
_atom_site_fract_z
_atom_site_occupancy
Ac1 Ac 0.000 0.000 0.000 1
Cd1 Cd 0.000 0.000 0.500 1
Cu1 Cu 0.333 0.667 0.326 1
Cu2 Cu 0.667 0.333 0.674 1
Ge1 Ge 0.333 0.667 0.728 1
Ge2 Ge 0.667 0.333 0.272 1

***

Record 2
# AcCdCuGe (PBE, optimized geometry)
# D(E_F): 0.249 states/eV/atom
# total energy: -14.54 eV for the cell shown
# E_form: -0.200 eV/atom
# SG: F-43m, No. 216
data_AcCdCuGe
_cell_length_a 5.117
_cell_length_b 5.117
_cell_length_c 5.117
_cell_angle_alpha 60.00
_cell_angle_beta 60.00
_cell_angle_gamma 60.00
_space_group_name_H-M_alt 'P 1'
_space_group_IT_number 1
_space_group_name_Hall 'P 1'
loop_
_atom_site_label
_atom_site_type_symbol
_atom_site_fract_x
_atom_site_fract_y
_atom_site_fract_z
_atom_site_occupancy
Ac1 Ac 0.000 0.000 0.000 1
Cd1 Cd 0.500 0.500 0.500 1
Cu1 Cu 0.750 0.750 0.750 1
Ge1 Ge 0.250 0.250 0.250 1

***

Record 3
# AcCdCuGe2 (PBE, optimized geometry)
# D(E_F): 0.413 states/eV/atom
# total energy: -20.24 eV for the cell shown
# E_form: -0.376 eV/atom
# SG: I-4m2, No. 119
data_AcCdCuGe2
_cell_length_a 6.439
_cell_length_b 6.439
_cell_length_c 6.439
_cell_angle_alpha 139.70
_cell_angle_beta 139.70
_cell_angle_gamma 58.31
_space_group_name_H-M_alt 'P 1'
_space_group_IT_number 1
_space_group_name_Hall 'P 1'
loop_
_atom_site_label
_atom_site_type_symbol
_atom_site_fract_x
_atom_site_fract_y
_atom_site_fract_z
_atom_site_occupancy
Ac1 Ac 0.000 0.000 0.000 1
Cd1 Cd 0.250 0.750 0.500 1
Cu1 Cu 0.750 0.250 0.500 1
Ge1 Ge 0.385 0.385 0.000 1
Ge2 Ge 0.615 0.615 0.000 1

***

Record 4
# AcCdCuHg (PBE, optimized geometry)
# D(E_F): 0.919 states/eV/atom
# total energy: -10.21 eV for the cell shown
# E_form: -0.198 eV/atom
# SG: F-43m, No. 216
data_AcCdCuHg
_cell_length_a 5.228
_cell_length_b 5.228
_cell_length_c 5.228
_cell_angle_alpha 60.00
_cell_angle_beta 60.00
_cell_angle_gamma 60.00
_space_group_name_H-M_alt 'P 1'
_space_group_IT_number 1
_space_group_name_Hall 'P 1'
loop_
_atom_site_label
_atom_site_type_symbol
_atom_site_fract_x
_atom_site_fract_y
_atom_site_fract_z
_atom_site_occupancy
Ac1 Ac 0.000 0.000 0.000 1
Cd1 Cd 0.500 0.500 0.500 1
Cu1 Cu 0.250 0.250 0.250 1
Hg1 Hg 0.750 0.750 0.750 1

***

Record 5
# Ac2CdIn4Cu3 (PBE, optimized geometry)
# D(E_F): 0.596 states/eV/atom
# total energy: -35.16 eV for the cell shown
# E_form: -0.279 eV/atom
# SG: P-4m2, No. 115
data_Ac2CdIn4Cu3
_cell_length_a 4.683
_cell_length_b 4.683
_cell_length_c 11.056
_cell_angle_alpha 90.00
_cell_angle_beta 90.00
_cell_angle_gamma 90.00
_space_group_name_H-M_alt 'P 1'
_space_group_IT_number 1
_space_group_name_Hall 'P 1'
loop_
_atom_site_label
_atom_site_type_symbol
_atom_site_fract_x
_atom_site_fract_y
_atom_site_fract_z
_atom_site_occupancy
Ac1 Ac 0.000 0.500 0.249 1
Ac2 Ac 0.500 0.000 0.751 1
Cd1 Cd 0.500 0.500 0.000 1
In1 In 0.000 0.000 0.500 1
In2 In 0.000 0.500 0.860 1
In3 In 0.500 0.000 0.140 1
In4 In 0.500 0.500 0.500 1
Cu1 Cu 0.000 0.000 0.000 1
Cu2 Cu 0.000 0.500 0.625 1
Cu3 Cu 0.500 0.000 0.375 1

***

Record 6
# Ac2Cd3In4Cu (PBE, optimized geometry)
# D(E_F): 0.403 states/eV/atom
# total energy: -28.90 eV for the cell shown
# E_form: -0.288 eV/atom
# SG: P-4m2, No. 115
data_Ac2Cd3In4Cu
_cell_length_a 4.785
_cell_length_b 4.785
_cell_length_c 11.783
_cell_angle_alpha 90.00
_cell_angle_beta 90.00
_cell_angle_gamma 90.00
_space_group_name_H-M_alt 'P 1'
_space_group_IT_number 1
_space_group_name_Hall 'P 1'
loop_
_atom_site_label
_atom_site_type_symbol
_atom_site_fract_x
_atom_site_fract_y
_atom_site_fract_z
_atom_site_occupancy
Ac1 Ac 0.000 0.500 0.236 1
Ac2 Ac 0.500 0.000 0.764 1
Cd1 Cd 0.000 0.000 0.000 1
Cd2 Cd 0.000 0.500 0.644 1
Cd3 Cd 0.500 0.000 0.356 1
In1 In 0.000 0.000 0.500 1
In2 In 0.000 0.500 0.880 1
In3 In 0.500 0.000 0.120 1
In4 In 0.500 0.500 0.500 1
Cu1 Cu 0.500 0.500 0.000 1

***

Record 7
# AcLaCdCu (PBE, optimized geometry)
# D(E_F): 0.883 states/eV/atom
# total energy: -14.69 eV for the cell shown
# E_form: -0.161 eV/atom
# SG: F-43m, No. 216
data_AcLaCdCu
_cell_length_a 5.503
_cell_length_b 5.503
_cell_length_c 5.503
_cell_angle_alpha 60.00
_cell_angle_beta 60.00
_cell_angle_gamma 60.00
_space_group_name_H-M_alt 'P 1'
_space_group_IT_number 1
_space_group_name_Hall 'P 1'
loop_
_atom_site_label
_atom_site_type_symbol
_atom_site_fract_x
_atom_site_fract_y
_atom_site_fract_z
_atom_site_occupancy
Ac1 Ac 0.000 0.000 0.000 1
La1 La 0.500 0.500 0.500 1
Cd1 Cd 0.250 0.250 0.250 1
Cu1 Cu 0.750 0.750 0.750 1

***

Record 8
# LiAc2Cd6Cu (PBE, optimized geometry)
# D(E_F): 0.658 states/eV/atom
# total energy: -21.03 eV for the cell shown
# E_form: -0.131 eV/atom
# SG: I4/mmm, No. 139
data_LiAc2Cd6Cu
_cell_length_a 7.163
_cell_length_b 7.163
_cell_length_c 7.163
_cell_angle_alpha 119.85
_cell_angle_beta 119.85
_cell_angle_gamma 90.27
_space_group_name_H-M_alt 'P 1'
_space_group_IT_number 1
_space_group_name_Hall 'P 1'
loop_
_atom_site_label
_atom_site_type_symbol
_atom_site_fract_x
_atom_site_fract_y
_atom_site_fract_z
_atom_site_occupancy
Li1 Li 0.000 0.000 0.000 1
Ac1 Ac 0.250 0.750 0.500 1
Ac2 Ac 0.750 0.250 0.500 1
Cd1 Cd 0.248 0.248 0.000 1
Cd2 Cd 0.248 0.248 0.495 1
Cd3 Cd 0.248 0.752 0.000 1
Cd4 Cd 0.752 0.248 0.000 1
Cd5 Cd 0.752 0.752 0.000 1
Cd6 Cd 0.752 0.752 0.505 1
Cu1 Cu 0.500 0.500 0.000 1

***

What did the seventh record say?
# AcLaCdCu (PBE, optimized geometry)
# D(E_F): 0.883 states/eV/atom
# total energy: -14.69 eV for the cell shown
# E_form: -0.161 eV/atom
# SG: F-43m, No. 216
data_AcLaCdCu
_cell_length_a 5.503
_cell_length_b 5.503
_cell_length_c 5.503
_cell_angle_alpha 60.00
_cell_angle_beta 60.00
_cell_angle_gamma 60.00
_space_group_name_H-M_alt 'P 1'
_space_group_IT_number 1
_space_group_name_Hall 'P 1'
loop_
_atom_site_label
_atom_site_type_symbol
_atom_site_fract_x
_atom_site_fract_y
_atom_site_fract_z
_atom_site_occupancy
Ac1 Ac 0.000 0.000 0.000 1
La1 La 0.500 0.500 0.500 1
Cd1 Cd 0.250 0.250 0.250 1
Cu1 Cu 0.750 0.750 0.750 1

***

Which value of E_form does entry 8 give?
-0.131 eV/atom

***

total energy of number 2 (AcCdCuGe)?
-14.54 eV for the cell shown

***

Repeat the sixth record exactly.
# Ac2Cd3In4Cu (PBE, optimized geometry)
# D(E_F): 0.403 states/eV/atom
# total energy: -28.90 eV for the cell shown
# E_form: -0.288 eV/atom
# SG: P-4m2, No. 115
data_Ac2Cd3In4Cu
_cell_length_a 4.785
_cell_length_b 4.785
_cell_length_c 11.783
_cell_angle_alpha 90.00
_cell_angle_beta 90.00
_cell_angle_gamma 90.00
_space_group_name_H-M_alt 'P 1'
_space_group_IT_number 1
_space_group_name_Hall 'P 1'
loop_
_atom_site_label
_atom_site_type_symbol
_atom_site_fract_x
_atom_site_fract_y
_atom_site_fract_z
_atom_site_occupancy
Ac1 Ac 0.000 0.500 0.236 1
Ac2 Ac 0.500 0.000 0.764 1
Cd1 Cd 0.000 0.000 0.000 1
Cd2 Cd 0.000 0.500 0.644 1
Cd3 Cd 0.500 0.000 0.356 1
In1 In 0.000 0.000 0.500 1
In2 In 0.000 0.500 0.880 1
In3 In 0.500 0.000 0.120 1
In4 In 0.500 0.500 0.500 1
Cu1 Cu 0.500 0.500 0.000 1